Below is La3Y2Zn2 after structural relaxation, with properties calculated at the PBE level.

space-group type	Cmmm (65)
E	-0.326	Ry/atom
DOS at the Fermi energy	1.15	states/eV per atom

Lattice parameters (Å, degrees): 15.681 15.681 3.640 90.00 90.00 166.49
Element x y z (fractional)
La 0.000 0.000 0.000
La 0.413 0.587 0.500
La 0.587 0.413 0.500
Y 0.298 0.702 0.500
Y 0.702 0.298 0.500
Zn 0.150 0.850 0.000
Zn 0.850 0.150 0.000